Entry from Alexandria: crystalline Co5Ni at its relaxed geometry (PBEsol).

The formation energy is 241.1 meV per atom. The value obtained for the total energy is -7.233 eV/atom. The size of the total moment comes out at 9.1 μB per cell.

Unit cell a=4.523 b=4.523 c=4.523 alpha=60.00 beta=60.00 gamma=60.00
Last column: magnetic moment on the atom in μB.
Sites, in units of the cell vectors:
Co (0.375, 0.375, 0.375)  1.68
Co (0.750, 0.750, 0.750)  1.77
Co (0.875, 0.375, 0.375)  1.68
Co (0.375, 0.875, 0.375)  1.68
Co (0.375, 0.375, 0.875)  1.68
Ni (0.000, 0.000, 0.000)  0.66